{
  "formula": "InAg3",
  "functional": "SCAN",
  "state": "PBEsol geometry",
  "dft_energy_ev_per_atom": -31.8481,
  "magmom_total_mub_per_fu": 0.000,
  "spacegroup": "P2/m",
  "delta_e_f_ev_per_fu": 0.1,
  "lattice_angstrom": [[2.890, 0.000, 0.000], [0.000, 4.785, 0.000], [-0.448, 0.000, 5.159]],
  "species": ["In", "Ag", "Ag", "Ag"],
  "fractional_positions": [[0.000, 0.000, 0.000], [0.244, 0.500, 0.746], [0.500, 0.000, 0.500], [0.756, 0.500, 0.254]]
}